Lu2HSe, optimized geometry, DFT PBE-GGA; E_tot = -18.58 eV for the cell shown
1.0
1.895 1.094 7.320
-1.895 1.094 7.320
0.000 -2.188 7.320
Lu H Se
2 1 1
Cartesian
0.000 0.000 1.912
0.000 0.000 20.049
0.000 0.000 0.000
0.000 0.000 10.980